# 1
## CeMnN2 (PBE)

Data for a relaxed structure of CeMnN2.

Raw formation energy, eV per atom: -0.97
Size of the total moment, μB per cell: 10.18

```
data_CeMnN2
_symmetry_space_group_name_H-M 'P n m a'
_symmetry_Int_Tables_number 62
_cell_length_a 5.457
_cell_length_b 3.316
_cell_length_c 10.627
_cell_angle_alpha 90.00
_cell_angle_beta 90.00
_cell_angle_gamma 90.00
loop_
_symmetry_equiv_pos_as_xyz
'x,y,z'
'-x,-y,-z'
'-x+1/2,-y,z+1/2'
'x+1/2,y,-z+1/2'
'x+1/2,-y+1/2,-z+1/2'
'-x+1/2,y+1/2,z+1/2'
'-x,y+1/2,-z'
'x,-y+1/2,z'
loop_
_atom_site_label
_atom_site_fract_x
_atom_site_fract_y
_atom_site_fract_z
Ce1 0.088 0.250 0.141
Mn1 0.082 0.750 0.396
N1 0.160 0.250 0.753
N2 0.213 0.250 0.486
```

***

# 2
## Ce2MnN4 (PBE)

Data for a relaxed structure of Ce2MnN4.

Raw formation energy, eV per atom: -0.96
Size of the total moment, μB per cell: 5.65

```
data_Ce2MnN4
_symmetry_space_group_name_H-M 'P 1 21/m 1'
_symmetry_Int_Tables_number 11
_cell_length_a 5.608
_cell_length_b 5.395
_cell_length_c 6.849
_cell_angle_alpha 90.00
_cell_angle_beta 109.16
_cell_angle_gamma 90.00
loop_
_symmetry_equiv_pos_as_xyz
'x,y,z'
'-x,-y,-z'
'-x,y+1/2,-z'
'x,-y+1/2,z'
loop_
_atom_site_label
_atom_site_fract_x
_atom_site_fract_y
_atom_site_fract_z
Ce1 0.209 0.250 0.429
Ce2 0.290 0.250 0.959
Mn1 0.260 0.750 0.203
N1 0.053 0.750 0.355
N2 0.095 0.750 0.937
N3 0.475 0.505 0.261
```

***

# 3
## Ce3MnN6 (PBE)

Data for a relaxed structure of Ce3MnN6.

Raw formation energy, eV per atom: -1.06
Size of the total moment, μB per cell: 4.30

```
data_Ce3MnN6
_symmetry_space_group_name_H-M 'C m c 21'
_symmetry_Int_Tables_number 36
_cell_length_a 9.137
_cell_length_b 11.622
_cell_length_c 5.473
_cell_angle_alpha 90.00
_cell_angle_beta 90.00
_cell_angle_gamma 90.00
loop_
_symmetry_equiv_pos_as_xyz
'x,y,z'
'-x,-y,z+1/2'
'-x,y,z'
'x,-y,z+1/2'
'x+1/2,y+1/2,z'
'-x+1/2,-y+1/2,z+1/2'
'-x+1/2,y+1/2,z'
'x+1/2,-y+1/2,z+1/2'
loop_
_atom_site_label
_atom_site_fract_x
_atom_site_fract_y
_atom_site_fract_z
Ce1 0.000 0.104 0.000
Ce2 0.199 0.394 0.024
Mn1 0.000 0.305 0.583
N1 0.000 0.292 0.267
N2 0.000 0.443 0.699
N3 0.148 0.242 0.730
N4 0.159 0.008 0.268
```

***

# 4
## Ce2MnN4 (PBE)

Data for a relaxed structure of Ce2MnN4.

Raw formation energy, eV per atom: -1.04
Size of the total moment, μB per cell: 1.11

```
data_Ce2MnN4
_symmetry_space_group_name_H-M 'I 4/m m m'
_symmetry_Int_Tables_number 139
_symmetry_space_group_name_Hall '-I 4 2'
_cell_length_a 3.711
_cell_length_b 3.711
_cell_length_c 12.257
_cell_angle_alpha 90.00
_cell_angle_beta 90.00
_cell_angle_gamma 90.00
loop_
_atom_site_label
_atom_site_fract_x
_atom_site_fract_y
_atom_site_fract_z
Ce1 0.000 0.000 0.143
Mn1 0.000 0.000 0.500
N1 0.000 0.000 0.326
N2 0.000 0.500 0.000
```